PBE-GGA SbOs, relaxed; symmetry = Cmme, No. 67; VASP energy = -6.897 eV per atom; uncorrected formation energy = 778.7 meV per atom
1.0
-0.107 -2.469 -1.742
2.598 0.964 1.208
-1.768 -5.960 8.560
Os Sb
2 2
direct
0.000 0.000 0.976 Os
0.500 0.500 0.774 Os
0.000 0.000 0.552 Sb
0.500 0.500 0.198 Sb

---

PBE-GGA ZnNi8Sn2, relaxed; symmetry = Immm, No. 71; VASP energy = -5.164 eV per atom; energy of formation from the pure elements = -1.27 eV per formula unit; E above lowest polymorph = 0.00 eV per formula unit
1.0
-1.888 -2.296 2.117
-2.929 -3.105 -5.979
6.512 -0.835 1.757
Zn Ni Sn
1 8 2
direct
0.500 0.000 0.000 Zn
0.666 0.924 0.331 Ni
0.334 0.593 0.669 Ni
0.170 0.170 0.341 Ni
0.000 0.229 0.000 Ni
0.830 0.830 0.659 Ni
0.666 0.407 0.331 Ni
0.334 0.076 0.669 Ni
0.000 0.771 0.000 Ni
0.150 0.650 0.300 Sn
0.850 0.350 0.700 Sn

---

PBE-GGA Li2ZrFe, relaxed; symmetry = P4/mmm, No. 123; VASP energy = -4.767 eV per atom; energy of formation from the pure elements = 1.77 eV per formula unit; E above lowest polymorph = 1.07 eV per formula unit
1.0
-0.841 1.649 -2.913
-3.337 -0.644 0.599
-0.388 4.466 2.640
Fe Li Zr
1 2 1
direct
0.500 0.500 0.750 Fe
0.000 0.000 0.960 Li
0.000 0.000 0.540 Li
0.500 0.500 0.250 Zr

---

PBE-GGA Mn3SbS7, relaxed; symmetry = Cm, No. 8; VASP energy = -5.891 eV per atom; uncorrected formation energy = -388.6 meV per atom
1.0
5.709 -0.253 -0.814
-0.667 7.010 1.932
-0.164 2.127 6.984
Mn Sb S
3 1 7
direct
0.999 0.805 0.198 Mn
0.485 0.993 0.993 Mn
0.999 0.198 0.805 Mn
0.492 0.475 0.475 Sb
0.220 0.112 0.112 S
0.241 0.095 0.666 S
0.705 0.329 0.872 S
0.241 0.666 0.095 S
0.147 0.569 0.569 S
0.705 0.872 0.329 S
0.764 0.886 0.886 S